Y3VH3O8 | GGA+U | relaxed

Output
- energy (eV per cell) = -229.39

```
30
Lattice="10.4440 0.0000 0.0000 0.0000 5.6094 0.0029 0.0000 1.5574 5.7435" Properties=species:S:1:pos:R:3 pbc="T T T"
Y 10.0391 2.2406 1.7567
H 2.6110 3.6466 5.2365
O 2.6110 1.7571 4.8531
H 5.7082 4.8597 0.5025
H 0.4863 2.3070 5.2439
H 4.7357 2.3070 5.2439
O 6.5816 3.8631 3.1099
H 9.9577 4.8597 0.5025
Y 4.8172 4.9262 3.9897
Y 0.4048 4.9262 3.9897
O 1.3597 3.3036 2.6365
Y 7.8330 2.5122 4.5741
O 7.8330 2.5427 0.6279
O 9.1366 6.5114 3.4105
H 7.8330 3.5202 0.5099
Y 5.6268 2.2406 1.7567
O 9.0843 3.8631 3.1099
O 5.0173 4.1839 0.3621
O 1.3073 0.6553 2.3360
O 3.9146 0.6553 2.3360
O 5.4267 2.9828 5.3843
O 6.5293 6.5114 3.4105
O 2.6110 4.6240 5.1185
O 0.2047 4.1839 0.3621
Y 2.6110 4.6546 1.1724
O 10.2393 2.9828 5.3843
O 7.8330 5.4096 0.8934
V 7.8330 5.2582 2.6313
V 2.6110 1.9086 3.1151
O 3.8623 3.3036 2.6365
```